A plane-wave DFT calculation with PBE-GGA was carried out for a relaxed KLiDy2F8 crystal.

Structure (CIF):
```
data_KLiDy2F8
_chemical_formula_sum 'K1 Li1 Dy2 F8'
_space_group_name_H-M_alt 'P 1'
_space_group_IT_number 1
_space_group_name_Hall 'P 1'
_cell_length_a 5.950
_cell_length_b 3.896
_cell_length_c 7.575
_cell_angle_alpha 90.00
_cell_angle_beta 97.38
_cell_angle_gamma 90.00
loop_
_atom_site_label
_atom_site_type_symbol
_atom_site_fract_x
_atom_site_fract_y
_atom_site_fract_z
K1 K 0.000 0.000 0.000
Li1 Li 0.000 0.000 0.500
Dy1 Dy 0.458 0.500 0.741
Dy2 Dy 0.542 0.500 0.259
F1 F 0.210 0.000 0.709
F2 F 0.274 0.500 0.464
F3 F 0.288 0.500 0.988
F4 F 0.361 0.000 0.240
F5 F 0.639 0.000 0.760
F6 F 0.712 0.500 0.012
F7 F 0.726 0.500 0.536
F8 F 0.790 0.000 0.291
```

DFT total energy: -71.56 eV for the cell shown
formation energy from raw total energies: -85.28 kcal/mol of atoms
space-group type: No. 10